# Mg2ZrHg

Mg2ZrHg after structural relaxation (GGA-PBEsol, the Alexandria database).

Output
Its density of states at the Fermi level is 3.012 states/eV/f.u. Its energy relative to the elements is -0.056 eV/atom.

Lattice parameters (Å, degrees): 3.083 4.326 6.270 90.00 90.00 90.00
Sites, in units of the cell vectors:
Mg 0.000 0.000 0.243
Mg 0.000 0.000 0.757
Zr 0.500 0.500 0.500
Hg 0.500 0.500 0.000

=====

# Y2ReNiBr

Y2ReNiBr after structural relaxation (GGA-PBEsol, the Alexandria database).

Output
Its density of states at the Fermi level is 2.560 states/eV/f.u. As for the uncorrected formation energy: 0.222 eV per atom.

Lattice parameters (Å, degrees): 5.412 5.412 4.367 90.00 90.00 90.00
Sites, in units of the cell vectors:
Y 0.000 0.500 0.000
Y 0.500 0.000 0.000
Re 0.000 0.000 0.000
Ni 0.000 0.000 0.500
Br 0.500 0.500 0.500

=====

# SrAsOs2

SrAsOs2 after structural relaxation (GGA-PBEsol, the Alexandria database).

Output
Its density of states at the Fermi level is 4.066 states/eV/f.u. Its energy relative to the elements is 0.461 eV/atom.

Lattice parameters (Å, degrees): 4.808 3.929 5.084 90.00 92.65 90.00
Sites, in units of the cell vectors:
Sr 0.000 0.000 0.000
As 0.500 0.000 0.500
Os 0.484 0.500 0.770
Os 0.516 0.500 0.230

=====

# YTlAu2

YTlAu2 after structural relaxation (GGA-PBEsol, the Alexandria database).

Output
Its density of states at the Fermi level is 1.723 states/eV/f.u. Its energy relative to the elements is -0.412 eV/atom.

Lattice parameters (Å, degrees): 3.597 3.597 6.655 90.00 90.00 90.00
Sites, in units of the cell vectors:
Y 0.000 0.000 0.000
Tl 0.500 0.500 0.679
Au 0.000 0.000 0.450
Au 0.500 0.500 0.221

=====

# Zr4Fe2N

Zr4Fe2N after structural relaxation (GGA-PBEsol, the Alexandria database).

Output
Its density of states at the Fermi level is 5.258 states/eV/f.u. As for the uncorrected formation energy: -0.713 eV per atom.

Lattice parameters (Å, degrees): 8.485 8.485 8.485 60.00 60.00 60.00
Sites, in units of the cell vectors:
Zr 0.000 0.000 0.000
Zr 0.000 0.000 0.500
Zr 0.000 0.500 0.000
Zr 0.189 0.189 0.561
Zr 0.189 0.561 0.189
Zr 0.189 0.561 0.561
Zr 0.439 0.439 0.811
Zr 0.439 0.811 0.439
Zr 0.439 0.811 0.811
Zr 0.500 0.000 0.000
Zr 0.561 0.189 0.189
Zr 0.561 0.189 0.561
Zr 0.561 0.561 0.189
Zr 0.811 0.439 0.439
Zr 0.811 0.439 0.811
Zr 0.811 0.811 0.439
Fe 0.127 0.791 0.791
Fe 0.209 0.209 0.209
Fe 0.209 0.209 0.873
Fe 0.209 0.873 0.209
Fe 0.791 0.127 0.791
Fe 0.791 0.791 0.127
Fe 0.791 0.791 0.791
Fe 0.873 0.209 0.209
N 0.000 0.500 0.500
N 0.500 0.000 0.500
N 0.500 0.500 0.000
N 0.500 0.500 0.500

=====

# MnCo2Os

MnCo2Os after structural relaxation (GGA-PBEsol, the Alexandria database).

Output
Its density of states at the Fermi level is 5.803 states/eV/f.u. Its energy relative to the elements is 0.063 eV/atom.

Lattice parameters (Å, degrees): 4.306 4.306 4.306 131.07 131.07 71.71
Sites, in units of the cell vectors:
Mn 0.000 0.000 0.000
Co 0.250 0.750 0.500
Co 0.500 0.500 0.000
Os 0.750 0.250 0.500

=====

# Nb3HW

Nb3HW after structural relaxation (GGA-PBEsol, the Alexandria database).

Output
Its density of states at the Fermi level is 5.287 states/eV/f.u. The calculated total energy is -0.712 Ry/atom.

Lattice parameters (Å, degrees): 4.167 4.167 4.167 90.00 90.00 90.00
Sites, in units of the cell vectors:
Nb 0.000 0.000 0.500
Nb 0.000 0.500 0.000
Nb 0.500 0.000 0.000
H 0.000 0.000 0.000
W 0.500 0.500 0.500

=====

# SrNbGa2Pt

SrNbGa2Pt after structural relaxation (GGA-PBEsol, the Alexandria database).

Output
Its density of states at the Fermi level is 2.850 states/eV/f.u. Its energy relative to the elements is -0.013 eV/atom.

Lattice parameters (Å, degrees): 5.031 5.031 4.867 90.00 90.00 90.00
Sites, in units of the cell vectors:
Sr 0.000 0.000 0.000
Nb 0.500 0.500 0.500
Ga 0.000 0.500 0.500
Ga 0.500 0.000 0.500
Pt 0.500 0.500 0.000